Tb2PrSm3Y6 | PBE-GGA | optimized geometry

Summary:
Energy of formation from the pure elements: 14 meV per atom
Magnetic moment: 0.00 μB per formula unit
Volume: 32.775 Å³/atom
Calculated density: 6.09 g/cm³
SG: No. 12

```
data_Tb2PrSm3Y6
_cell_length_a 6.232
_cell_length_b 6.232
_cell_length_c 11.873
_cell_angle_alpha 95.00
_cell_angle_beta 95.00
_cell_angle_gamma 119.97
_space_group_name_H-M_alt 'P 1'
_space_group_IT_number 1
loop_
_space_group_symop_operation_xyz
'x,y,z'
loop_
_atom_site_label
_atom_site_type_symbol
_atom_site_fract_x
_atom_site_fract_y
_atom_site_fract_z
Tb1 Tb 0.333 0.667 0.000
Tb2 Tb 0.667 0.333 0.000
Pr1 Pr 0.000 0.000 0.000
Sm1 Sm 0.167 0.833 0.500
Sm2 Sm 0.833 0.167 0.500
Sm3 Sm 0.500 0.500 0.500
Y1 Y 0.917 0.583 0.750
Y2 Y 0.749 0.749 0.250
Y3 Y 0.083 0.417 0.250
Y4 Y 0.583 0.917 0.750
Y5 Y 0.251 0.251 0.750
Y6 Y 0.417 0.083 0.250
```